No. 1
First-principles (PBE) data for a relaxed TlCu2Si crystal, as listed in Alexandria via LeMat-Bulk.

- Total magnetization: 0.00 Bohr magnetons per cell
- DOS(E_F): 4.00 states/eV per cell
- Offset from the most stable computed form: 67 meV per atom
- ΔE_f (raw): 306.7 meV/atom
- Raw total energy: -3.6887 eV/atom

Unit cell a=3.1126 b=3.1126 c=24.0830 alpha=90.00 beta=90.00 gamma=120.00
Space group R-3m (No. 166, hexagonal axes)
Inequivalent atoms, fractional coordinates:
1 Tl 0.0000 0.0000 0.0000 (multiplicity 3)
2 Cu 0.0000 0.0000 0.2368 (multiplicity 6)
3 Si 0.0000 0.0000 0.5000 (multiplicity 3)

---

No. 2
First-principles (PBE) data for a relaxed TlCuSi crystal, as listed in Alexandria via LeMat-Bulk.

- Total magnetization: 0.00 Bohr magnetons per cell
- DOS(E_F): 4.88 states/eV per cell
- ΔE_f (raw): 320.4 meV/atom
- Raw total energy: -3.6415 eV/atom

Unit cell a=4.131 b=6.969 c=8.397 alpha=90.00 beta=90.00 gamma=90.00
Space group Cmcm (No. 63)
Inequivalent atoms, fractional coordinates:
1 Tl 0.000 0.000 0.000 (multiplicity 4)
2 Cu 0.000 0.298 0.250 (multiplicity 4)
3 Si 0.000 0.365 0.750 (multiplicity 4)

---

No. 3
First-principles (PBE) data for a relaxed TlCuSi2 crystal, as listed in Alexandria via LeMat-Bulk.

- Total magnetization: 0.00 Bohr magnetons per cell
- DOS(E_F): 3.13 states/eV per cell
- Offset from the most stable computed form: 0 meV per atom
- ΔE_f (raw): 216.6 meV/atom
- Raw total energy: -4.1105 eV/atom

Unit cell a=3.9209 b=3.9209 c=18.6123 alpha=90.00 beta=90.00 gamma=120.00
Space group R-3m (No. 166, hexagonal axes)
Inequivalent atoms, fractional coordinates:
1 Tl 0.0000 0.0000 0.0000 (multiplicity 3)
2 Cu 0.0000 0.0000 0.5000 (multiplicity 3)
3 Si 0.0000 0.0000 0.2073 (multiplicity 6)

---

No. 4
First-principles (PBE) data for a relaxed TlCuSi2 crystal, as listed in Alexandria via LeMat-Bulk.

- Total magnetization: 0.00 Bohr magnetons per cell
- DOS(E_F): 7.80 states/eV per cell
- Offset from the most stable computed form: 301 meV per atom
- ΔE_f (raw): 517.9 meV/atom
- Raw total energy: -3.8092 eV/atom

Unit cell a=5.223 b=5.353 c=10.477 alpha=90.00 beta=90.00 gamma=90.00
Space group Fmmm (No. 69)
Inequivalent atoms, fractional coordinates:
1 Tl 0.000 0.000 0.000 (multiplicity 4)
2 Cu 0.000 0.000 0.500 (multiplicity 4)
3 Si 0.250 0.000 0.250 (multiplicity 8)

---

| no. | mass density (g/cm³) |
| --- | --- |
| 1 | 8.9 |
| 2 | 8.1 |
| 3 | 6.5 |
| 4 | 7.3 |